The following is a DFT calculation (GGA-PBE) of an optimized crystal structure of YV3Cl.

abc: 5.0174 5.0174 5.0174
angles: 90.00 90.00 90.00
Last column: nearest neighbours and their distance in Å.
Element x y z (fractional)
V 0.0000 0.0000 0.5000  2 Y 2.51
V 0.0000 0.5000 0.0000  2 Y 2.51
Cl 0.5000 0.5000 0.5000  12 V 3.55
V 0.5000 0.0000 0.0000  2 Y 2.51
Y 0.0000 0.0000 0.0000  6 V 2.51

offset from the most stable computed form = 1714 meV/atom
space-group type = Pm-3m, No. 221
DOS at the Fermi energy = 8.6 states/eV per cell
volume = 25.26 Å³ per atom
ΔE_f (raw) = 2.10 eV per atom

***

The following is a DFT calculation (GGA-PBE) of an optimized crystal structure of YV2Cl.

abc: 3.6840 3.6840 11.8117
angles: 81.03 81.03 90.00
Last column: nearest neighbours and their distance in Å.
Element x y z (fractional)
V 0.1119 0.6250 0.2500  4 V 2.54-2.67
V 0.8750 0.8881 0.7500  4 V 2.54-2.67
Cl 0.2500 0.7500 0.5000  4 Y 2.60
Cl 0.5000 0.5000 0.0000  4 Y 2.60
Y 0.0000 0.0000 0.0000  4 Cl 2.60
V 0.3750 0.3619 0.7500  4 V 2.54-2.67
Y 0.7500 0.2500 0.5000  4 Cl 2.60
V 0.6381 0.1250 0.2500  4 V 2.54-2.67

offset from the most stable computed form = 0 meV/atom
space-group type = I-42d, No. 122
DOS at the Fermi energy = 11.8 states/eV per cell
volume = 19.54 Å³ per atom
ΔE_f (raw) = 0.24 eV per atom

***

The following is a DFT calculation (GGA-PBE) of an optimized crystal structure of YV3Cl.

abc: 4.4231 4.4231 4.4231
angles: 90.00 90.00 90.00
Last column: nearest neighbours and their distance in Å.
Element x y z (fractional)
V 0.5000 0.0000 0.0000  2 Cl 2.21
Y 0.5000 0.5000 0.5000  12 V 3.13
V 0.0000 0.0000 0.5000  2 Cl 2.21
Cl 0.0000 0.0000 0.0000  6 V 2.21
V 0.0000 0.5000 0.0000  2 Cl 2.21

offset from the most stable computed form = 0 meV/atom
space-group type = Pm-3m, No. 221
DOS at the Fermi energy = 7.2 states/eV per cell
volume = 17.31 Å³ per atom
ΔE_f (raw) = 0.38 eV per atom